Record 1
Compound: NaLaDySe3
Source: Alexandria
Functional: PBE
Structure: optimized geometry

formation energy without anion corrections	-1580.2	meV/atom
E	-5.13	eV per atom

Lattice parameters (Å, degrees): 8.432 4.183 9.267 90.00 105.38 90.00
Fractional coordinates of all 12 atoms:
Na: 0.097 0.250 0.085
Na: 0.903 0.750 0.915
La: 0.205 0.250 0.728
La: 0.795 0.750 0.272
Dy: 0.332 0.750 0.347
Dy: 0.668 0.250 0.653
Se: 0.095 0.250 0.378
Se: 0.259 0.750 0.997
Se: 0.442 0.750 0.668
Se: 0.558 0.250 0.332
Se: 0.741 0.250 0.003
Se: 0.905 0.750 0.622



Record 2
Compound: NaLaDySn
Source: Alexandria
Functional: PBE
Structure: optimized geometry

energy of formation from the pure elements	-306	meV/atom
E	-4.02	eV per atom

Lattice parameters (Å, degrees): 5.467 5.467 5.467 60.00 60.00 60.00
Fractional coordinates of all 4 atoms:
Na: 0.000 0.000 0.000
La: 0.250 0.250 0.250
Dy: 0.750 0.750 0.750
Sn: 0.500 0.500 0.500